First-principles (PBE) data for crystalline Ga2Co2Ge at its relaxed geometry, as listed in the Alexandria database.

## Properties
M_tot = 0.0 μB/f.u.
density of states at the Fermi level = 3.79 states/eV/f.u.
DFT formation energy = 33 meV/atom
excess energy over the best structure of this formula in the dataset = 1.487 eV per formula unit

```
data_Ga2Co2Ge
_space_group_name_H-M_alt 'P 4/m b m'
_space_group_IT_number 127
_space_group_name_Hall '-P 4 2ab'
_cell_length_a 7.1562
_cell_length_b 7.1562
_cell_length_c 2.7039
_cell_angle_alpha 90.00
_cell_angle_beta 90.00
_cell_angle_gamma 90.00
loop_
_atom_site_label
_atom_site_fract_x
_atom_site_fract_y
_atom_site_fract_z
Ga1 0.1380 0.3620 0.0000
Co1 0.1563 0.6563 0.5000
Ge1 0.0000 0.0000 0.0000
```